(1)
Compound: Li6LaHg4
Source: Alexandria
Functional: PBE
Structure: optimized geometry

Computed properties:
The calculation puts the mass density at 7.1 g cm⁻³. The value obtained for the total energy is -1.9235 eV/atom. Its calculated formation energy is -3.54 eV per formula unit. The density of states at the Fermi level comes out at 0.619 states/eV/atom.

Structure (POSCAR):
```
Li6LaHg4
1.0
-2.428 -2.926 1.624
4.442 -5.664 -3.564
1.890 2.531 7.385
Li La Hg
6 1 4
Cartesian
2.502 -2.852 -1.400
2.905 -2.789 4.580
3.253 -1.846 1.537
5.020 -4.098 0.120
1.201 -0.616 5.948
0.476 -1.587 3.115
0.000 0.000 0.000
3.545 -4.481 2.488
0.849 -3.147 0.861
2.740 -5.558 -0.656
2.741 -0.201 3.735
```


(2)
Compound: LiLa5Hg6
Source: Alexandria
Functional: PBE
Structure: optimized geometry

Computed properties:
The calculation puts the mass density at 9.2 g cm⁻³. The value obtained for the total energy is -2.8339 eV/atom. Its calculated formation energy is -5.64 eV per formula unit. The density of states at the Fermi level comes out at 0.967 states/eV/atom.

Structure (POSCAR):
```
LiLa5Hg6
1.0
5.230 -0.003 -1.465
-3.927 7.627 -3.977
-0.189 -1.126 9.386
La Hg Li
5 6 1
Cartesian
1.810 0.314 6.453
-1.429 1.777 4.955
0.557 3.249 1.972
-2.688 4.724 0.455
-0.697 6.183 -2.509
0.857 0.165 3.062
1.442 3.556 5.120
2.883 1.536 0.200
-1.770 4.961 3.744
-0.329 2.941 -1.176
0.256 6.332 0.882
0.000 0.000 0.000
```


(3)
Compound: LiLaHg3
Source: Alexandria
Functional: PBE
Structure: optimized geometry

Computed properties:
The calculation puts the mass density at 10.1 g cm⁻³. The value obtained for the total energy is -1.8595 eV/atom. For the polymorph energy (0 for the lowest one), the calculation gives 23 meV per atom. Its calculated formation energy is -1.55 eV per formula unit. The density of states at the Fermi level comes out at 0.728 states/eV/atom.

Structure (POSCAR):
```
LiLaHg3
1.0
4.964 0.000 0.000
0.000 4.964 0.000
0.000 0.000 4.964
Li Hg La
1 3 1
Cartesian
0.000 0.000 0.000
0.000 2.482 0.000
0.000 0.000 2.482
2.482 0.000 0.000
2.482 2.482 2.482
```


(4)
Compound: Li2LaHg
Source: Alexandria
Functional: PBE
Structure: optimized geometry

Computed properties:
The calculation puts the mass density at 5.9 g cm⁻³. The value obtained for the total energy is -2.4741 eV/atom. Its calculated formation energy is -0.84 eV per formula unit. The density of states at the Fermi level comes out at 1.060 states/eV/atom.

Structure (POSCAR):
```
Li2LaHg
1.0
4.827 -0.056 0.018
2.460 4.153 0.018
2.402 1.351 4.915
Li Hg La
2 1 1
Cartesian
2.405 1.352 4.385
7.267 4.086 3.677
4.841 2.722 3.007
2.422 1.362 1.273
```


(5)
Compound: Li2LaHg
Source: Alexandria
Functional: PBE
Structure: optimized geometry

Computed properties:
The calculation puts the mass density at 5.7 g cm⁻³. The value obtained for the total energy is -2.4117 eV/atom. Its calculated formation energy is -0.59 eV per formula unit. The density of states at the Fermi level comes out at 0.883 states/eV/atom.

Structure (POSCAR):
```
Li2LaHg
1.0
5.245 0.000 0.000
0.000 3.500 -0.006
0.000 0.337 5.579
Hg La Li
1 1 2
Cartesian
2.622 0.959 1.393
2.622 2.878 4.180
0.000 0.469 0.148
0.000 1.450 2.639
```


(6)
Compound: Li2LaHg5
Source: Alexandria
Functional: PBE
Structure: optimized geometry

Computed properties:
The calculation puts the mass density at 10.1 g cm⁻³. The value obtained for the total energy is -1.5888 eV/atom. Its calculated formation energy is -2.45 eV per formula unit. The density of states at the Fermi level comes out at 0.566 states/eV/atom.

Structure (POSCAR):
```
Li2LaHg5
1.0
-4.001 1.562 0.525
-3.137 -3.885 5.482
-0.418 2.592 6.935
Li La Hg
2 1 5
Cartesian
-5.680 0.285 9.363
-1.876 -0.015 3.580
0.000 0.000 0.000
-1.777 -0.646 6.209
-4.455 -0.937 4.504
-3.101 1.207 8.438
-4.332 -1.724 7.781
-3.224 1.994 5.162
```


(7)
Compound: Li5LaHg6
Source: Alexandria
Functional: PBE
Structure: optimized geometry

Computed properties:
The calculation puts the mass density at 8.9 g cm⁻³. The value obtained for the total energy is -1.7262 eV/atom. Its calculated formation energy is -4.41 eV per formula unit. The density of states at the Fermi level comes out at 0.432 states/eV/atom.

Structure (POSCAR):
```
Li5LaHg6
1.0
4.918 0.000 0.014
2.459 7.308 0.007
-0.020 0.000 7.111
Li Hg La
5 6 1
Cartesian
4.908 4.995 3.569
2.459 2.577 0.007
-0.010 0.000 3.556
4.918 4.731 0.014
2.449 2.313 3.562
4.913 2.569 1.967
4.904 2.569 5.171
2.445 0.000 5.114
2.453 0.000 2.011
2.454 4.739 1.961
2.445 4.739 5.164
0.000 0.000 0.000
```


(8)
Compound: LiLaHg2
Source: Alexandria
Functional: PBE
Structure: optimized geometry

Computed properties:
The calculation puts the mass density at 7.8 g cm⁻³. The value obtained for the total energy is -2.0029 eV/atom. For the polymorph energy (0 for the lowest one), the calculation gives 326 meV per atom. Its calculated formation energy is -0.57 eV per formula unit. The density of states at the Fermi level comes out at 1.337 states/eV/atom.

Structure (POSCAR):
```
LiLaHg2
1.0
-0.398 -4.748 -1.476
4.396 -1.027 2.120
-2.349 -5.007 8.311
Li Hg La
2 4 2
Cartesian
1.999 -2.888 0.322
2.023 -4.461 5.377
-0.247 -3.878 1.566
2.071 -2.958 3.072
0.173 -6.023 6.685
1.302 -8.707 6.587
0.000 0.000 0.000
-0.374 -6.321 3.579
```


(9)
Compound: LiLaLuHg
Source: Alexandria
Functional: PBE
Structure: optimized geometry

Computed properties:
The calculation puts the mass density at 8.1 g cm⁻³. The value obtained for the total energy is -3.1086 eV/atom. Its calculated formation energy is -0.77 eV per formula unit. The density of states at the Fermi level comes out at 1.201 states/eV/atom.

Structure (POSCAR):
```
LiLaLuHg
1.0
5.328 0.000 0.000
2.664 4.614 0.000
2.664 1.538 4.350
Lu Li Hg La
1 1 1 1
Cartesian
7.992 4.614 3.263
0.000 0.000 0.000
5.328 3.076 2.175
2.664 1.538 1.088
```


(10)
Compound: LiLaMgHg2
Source: Alexandria
Functional: PBE
Structure: optimized geometry

Computed properties:
The calculation puts the mass density at 7.8 g cm⁻³. The value obtained for the total energy is -2.1286 eV/atom. Its calculated formation energy is -1.60 eV per formula unit. The density of states at the Fermi level comes out at 0.516 states/eV/atom.

Structure (POSCAR):
```
LiLaMgHg2
1.0
-4.333 4.705 -0.406
-2.291 -1.702 4.729
4.195 4.168 3.532
Li La Mg Hg
2 2 2 4
Cartesian
0.000 0.000 0.000
-1.146 -0.851 2.365
0.549 2.718 2.857
-2.979 4.453 4.999
-4.371 1.603 3.299
-2.254 1.399 1.025
-0.655 6.122 3.500
-2.672 4.117 1.801
0.242 3.053 6.055
-1.776 1.049 4.357
```


(11)
Compound: LiLaMg2Hg5
Source: Alexandria
Functional: PBE
Structure: optimized geometry

Computed properties:
The calculation puts the mass density at 8.8 g cm⁻³. The value obtained for the total energy is -1.4749 eV/atom. Its calculated formation energy is -1.73 eV per formula unit. The density of states at the Fermi level comes out at 0.484 states/eV/atom.

Structure (POSCAR):
```
LiLaMg2Hg5
1.0
-2.223 4.251 -0.516
-2.023 -1.789 -6.020
-3.803 -3.988 6.079
Li La Mg Hg
1 1 2 5
Cartesian
-1.111 2.125 -0.258
-1.012 -0.894 -3.010
-2.274 -1.058 1.079
-5.775 -0.468 -1.536
-4.292 0.022 -3.888
-3.757 -1.548 3.431
-4.713 -2.393 0.587
-3.336 0.867 -1.044
0.000 0.000 0.000
```


(12)
Compound: Li2LaMgHg2
Source: Alexandria
Functional: PBE
Structure: optimized geometry

Computed properties:
The calculation puts the mass density at 6.9 g cm⁻³. The value obtained for the total energy is -2.1729 eV/atom. Its calculated formation energy is -2.08 eV per formula unit. The density of states at the Fermi level comes out at 0.926 states/eV/atom.

Structure (POSCAR):
```
Li2LaMgHg2
1.0
4.741 0.000 0.000
-2.371 4.106 0.000
0.000 0.000 7.102
Li La Mg Hg
2 1 1 2
Cartesian
0.000 2.737 4.740
2.371 1.369 2.363
0.000 0.000 0.000
0.000 0.000 3.551
0.000 2.737 1.906
2.371 1.369 5.196
```